Record 1
A plane-wave DFT calculation with GGA-PBEsol was carried out for an optimized crystal structure of Ti2CCl2.

The structure in CIF format:
```
data_Ti2CCl2
_chemical_formula_sum 'Ti2 C1 Cl2'
_cell_length_a 3.1909
_cell_length_b 3.1909
_cell_length_c 8.9769
_cell_angle_alpha 90.00
_cell_angle_beta 90.00
_cell_angle_gamma 120.00
_symmetry_space_group_name_H-M 'P -3 m 1'
_symmetry_Int_Tables_number 164
_symmetry_space_group_name_Hall '-P 3 2"'
loop_
_atom_site_label
_atom_site_type_symbol
_atom_site_fract_x
_atom_site_fract_y
_atom_site_fract_z
Ti1 Ti 0.3333 0.6667 0.3791
C1 C 0.0000 0.0000 0.5000
Cl1 Cl 0.3333 0.6667 0.8056
```

Crystal system: trigonal
Formation energy (no corrections), kcal/mol of atoms: -33.30

---

Record 2
A plane-wave DFT calculation with GGA-PBEsol was carried out for an optimized crystal structure of NaSr2LaTi4O12.

The structure in CIF format:
```
data_NaSr2LaTi4O12
_chemical_formula_sum 'Na2 Sr4 La2 Ti8 O24'
_cell_length_a 5.4922
_cell_length_b 5.4922
_cell_length_c 15.5171
_cell_angle_alpha 90.00
_cell_angle_beta 90.00
_cell_angle_gamma 90.00
_symmetry_space_group_name_H-M 'I 4/m m m'
_symmetry_Int_Tables_number 139
_symmetry_space_group_name_Hall '-I 4 2'
loop_
_atom_site_label
_atom_site_type_symbol
_atom_site_fract_x
_atom_site_fract_y
_atom_site_fract_z
Na1 Na 0.0000 0.0000 0.0000
Sr1 Sr 0.0000 0.0000 0.2487
La1 La 0.0000 0.0000 0.5000
Ti1 Ti 0.0000 0.5000 0.1240
O1 O 0.0000 0.5000 0.0000
O2 O 0.0000 0.5000 0.2500
O3 O 0.2436 0.2436 0.3763
```

Relative energy among the computed polymorphs, meV/atom: 7
Crystal system: tetragonal
Formation energy (no corrections), kcal/mol of atoms: -72.06

---

Record 3
A plane-wave DFT calculation with GGA-PBEsol was carried out for an optimized crystal structure of CuHg4.

The structure in CIF format:
```
data_CuHg4
_chemical_formula_sum 'Cu1 Hg4'
_cell_length_a 3.1560
_cell_length_b 3.1560
_cell_length_c 12.2771
_cell_angle_alpha 90.00
_cell_angle_beta 90.00
_cell_angle_gamma 120.00
_symmetry_space_group_name_H-M 'P -3 m 1'
_symmetry_Int_Tables_number 164
_symmetry_space_group_name_Hall '-P 3 2"'
loop_
_atom_site_label
_atom_site_type_symbol
_atom_site_fract_x
_atom_site_fract_y
_atom_site_fract_z
Cu1 Cu 0.0000 0.0000 0.0000
Hg1 Hg 0.3333 0.6667 0.6064
Hg2 Hg 0.3333 0.6667 0.8387
```

Formation energy from the elements, eV/atom: 0.11
Crystal system: trigonal

---

Record 4
A plane-wave DFT calculation with GGA-PBEsol was carried out for an optimized crystal structure of LiCo2Te.

The structure in CIF format:
```
data_LiCo2Te
_chemical_formula_sum 'Li2 Co4 Te2'
_cell_length_a 5.2302
_cell_length_b 8.5014
_cell_length_c 2.9389
_cell_angle_alpha 90.00
_cell_angle_beta 121.17
_cell_angle_gamma 90.00
_symmetry_space_group_name_H-M 'C 1 2/m 1'
_symmetry_Int_Tables_number 12
loop_
_symmetry_equiv_pos_as_xyz
'x,y,z'
'-x,-y,-z'
'-x,y,-z'
'x,-y,z'
'x+1/2,y+1/2,z'
'-x+1/2,-y+1/2,-z'
'-x+1/2,y+1/2,-z'
'x+1/2,-y+1/2,z'
loop_
_atom_site_label
_atom_site_type_symbol
_atom_site_fract_x
_atom_site_fract_y
_atom_site_fract_z
Li1 Li 0.0000 0.0000 0.0000
Co1 Co 0.2500 0.2500 0.5000
Te1 Te 0.0000 0.5000 0.0000
```

Crystal system: monoclinic
Formation energy (no corrections), kcal/mol of atoms: 7.72

---

Record 5
A plane-wave DFT calculation with GGA-PBEsol was carried out for an optimized crystal structure of TaReAu2.

The structure in CIF format:
```
data_TaReAu2
_chemical_formula_sum 'Ta1 Re1 Au2'
_cell_length_a 2.7631
_cell_length_b 2.7631
_cell_length_c 8.4601
_cell_angle_alpha 90.00
_cell_angle_beta 90.00
_cell_angle_gamma 90.00
_symmetry_space_group_name_H-M 'P 4/m m m'
_symmetry_Int_Tables_number 123
_symmetry_space_group_name_Hall '-P 4 2'
loop_
_atom_site_label
_atom_site_type_symbol
_atom_site_fract_x
_atom_site_fract_y
_atom_site_fract_z
Ta1 Ta 0.0000 0.0000 0.0000
Re1 Re 0.0000 0.0000 0.5000
Au1 Au 0.5000 0.5000 0.2537
```

Formation energy from the elements, eV/atom: 0.28
Relative energy among the computed polymorphs, meV/atom: 158
Crystal system: tetragonal

---

Record 6
A plane-wave DFT calculation with GGA-PBEsol was carried out for an optimized crystal structure of MgSiO3.

The structure in CIF format:
```
data_MgSiO3
_chemical_formula_sum 'Mg8 Si8 O24'
_cell_length_a 9.2943
_cell_length_b 8.7422
_cell_length_c 5.3324
_cell_angle_alpha 90.00
_cell_angle_beta 90.00
_cell_angle_gamma 90.00
_symmetry_space_group_name_H-M 'P b c n'
_symmetry_Int_Tables_number 60
loop_
_symmetry_equiv_pos_as_xyz
'x,y,z'
'-x,-y,-z'
'-x+1/2,-y+1/2,z+1/2'
'x+1/2,y+1/2,-z+1/2'
'x+1/2,-y+1/2,-z'
'-x+1/2,y+1/2,z'
'-x,y,-z+1/2'
'x,-y,z+1/2'
loop_
_atom_site_label
_atom_site_type_symbol
_atom_site_fract_x
_atom_site_fract_y
_atom_site_fract_z
Mg1 Mg 0.0000 0.0952 0.2500
Mg2 Mg 0.0000 0.2644 0.7500
Si1 Si 0.2082 0.4083 0.0670
O1 O 0.1172 0.0938 0.5793
O2 O 0.1230 0.2491 0.0699
O3 O 0.1499 0.4745 0.7898
```

Crystal system: orthorhombic
Formation energy (no corrections), kcal/mol of atoms: -65.46

---

Record 7
A plane-wave DFT calculation with GGA-PBEsol was carried out for an optimized crystal structure of Be2SbW.

The structure in CIF format:
```
data_Be2SbW
_chemical_formula_sum 'Be2 Sb1 W1'
_cell_length_a 2.7794
_cell_length_b 2.7794
_cell_length_c 7.8834
_cell_angle_alpha 90.00
_cell_angle_beta 90.00
_cell_angle_gamma 90.00
_symmetry_space_group_name_H-M 'P 4/m m m'
_symmetry_Int_Tables_number 123
_symmetry_space_group_name_Hall '-P 4 2'
loop_
_atom_site_label
_atom_site_type_symbol
_atom_site_fract_x
_atom_site_fract_y
_atom_site_fract_z
Be1 Be 0.0000 0.0000 0.2090
Sb1 Sb 0.5000 0.5000 0.5000
W1 W 0.5000 0.5000 0.0000
```

Crystal system: tetragonal
Formation energy (no corrections), kcal/mol of atoms: 14.19

---

Record 8
A plane-wave DFT calculation with GGA-PBEsol was carried out for an optimized crystal structure of Tc3P.

The structure in CIF format:
```
data_Tc3P
_chemical_formula_sum 'Tc6 P2'
_cell_length_a 2.8676
_cell_length_b 4.2725
_cell_length_c 8.5793
_cell_angle_alpha 90.00
_cell_angle_beta 90.00
_cell_angle_gamma 90.00
_symmetry_space_group_name_H-M 'I m m m'
_symmetry_Int_Tables_number 71
_symmetry_space_group_name_Hall '-I 2 2'
loop_
_atom_site_label
_atom_site_type_symbol
_atom_site_fract_x
_atom_site_fract_y
_atom_site_fract_z
Tc1 Tc 0.0000 0.0000 0.0000
Tc2 Tc 0.0000 0.5000 0.2199
P1 P 0.0000 0.0000 0.5000
```

Formation energy from the elements, eV/atom: -0.32
Relative energy among the computed polymorphs, meV/atom: 66
Crystal system: orthorhombic

---

Record 9
A plane-wave DFT calculation with GGA-PBEsol was carried out for an optimized crystal structure of MnReTeN2.

The structure in CIF format:
```
data_MnReTeN2
_chemical_formula_sum 'Mn1 Re1 Te1 N2'
_cell_length_a 3.8434
_cell_length_b 3.8434
_cell_length_c 5.6055
_cell_angle_alpha 90.00
_cell_angle_beta 90.00
_cell_angle_gamma 90.00
_symmetry_space_group_name_H-M 'P 4/m m m'
_symmetry_Int_Tables_number 123
_symmetry_space_group_name_Hall '-P 4 2'
loop_
_atom_site_label
_atom_site_type_symbol
_atom_site_fract_x
_atom_site_fract_y
_atom_site_fract_z
Mn1 Mn 0.0000 0.0000 0.0000
Re1 Re 0.5000 0.5000 0.5000
Te1 Te 0.5000 0.5000 0.0000
N1 N 0.0000 0.5000 0.5000
```

Relative energy among the computed polymorphs, meV/atom: 0
Crystal system: tetragonal
Formation energy (no corrections), kcal/mol of atoms: 12.20

---

Record 10
A plane-wave DFT calculation with GGA-PBEsol was carried out for an optimized crystal structure of CaCd2Pt.

The structure in CIF format:
```
data_CaCd2Pt
_chemical_formula_sum 'Ca2 Cd4 Pt2'
_cell_length_a 4.3083
_cell_length_b 4.3209
_cell_length_c 8.4381
_cell_angle_alpha 90.00
_cell_angle_beta 90.00
_cell_angle_gamma 90.00
_symmetry_space_group_name_H-M 'I m m m'
_symmetry_Int_Tables_number 71
_symmetry_space_group_name_Hall '-I 2 2'
loop_
_atom_site_label
_atom_site_type_symbol
_atom_site_fract_x
_atom_site_fract_y
_atom_site_fract_z
Ca1 Ca 0.0000 0.0000 0.0000
Cd1 Cd 0.0000 0.5000 0.2496
Pt1 Pt 0.0000 0.0000 0.5000
```

Formation energy from the elements, eV/atom: -0.44
Crystal system: orthorhombic

---

Record 11
A plane-wave DFT calculation with GGA-PBEsol was carried out for an optimized crystal structure of Be2AlCl.

The structure in CIF format:
```
data_Be2AlCl
_chemical_formula_sum 'Be8 Al4 Cl4'
_cell_length_a 5.4910
_cell_length_b 5.4910
_cell_length_c 9.1848
_cell_angle_alpha 90.00
_cell_angle_beta 90.00
_cell_angle_gamma 90.00
_symmetry_space_group_name_H-M 'I -4 2 d'
_symmetry_Int_Tables_number 122
_symmetry_space_group_name_Hall 'I -4 2bw'
loop_
_atom_site_label
_atom_site_type_symbol
_atom_site_fract_x
_atom_site_fract_y
_atom_site_fract_z
Be1 Be 0.2196 0.7500 0.1250
Al1 Al 0.0000 0.0000 0.5000
Cl1 Cl 0.0000 0.0000 0.0000
```

Relative energy among the computed polymorphs, meV/atom: 474
Crystal system: tetragonal
Formation energy (no corrections), kcal/mol of atoms: 11.15

---

Record 12
A plane-wave DFT calculation with GGA-PBEsol was carried out for an optimized crystal structure of LiCa2Pt.

The structure in CIF format:
```
data_LiCa2Pt
_chemical_formula_sum 'Li2 Ca4 Pt2'
_cell_length_a 4.2996
_cell_length_b 4.2996
_cell_length_c 9.5835
_cell_angle_alpha 90.00
_cell_angle_beta 90.00
_cell_angle_gamma 90.00
_symmetry_space_group_name_H-M 'I -4 m 2'
_symmetry_Int_Tables_number 119
_symmetry_space_group_name_Hall 'I -4 -2'
loop_
_atom_site_label
_atom_site_type_symbol
_atom_site_fract_x
_atom_site_fract_y
_atom_site_fract_z
Li1 Li 0.0000 0.0000 0.0000
Ca1 Ca 0.0000 0.0000 0.5000
Ca2 Ca 0.0000 0.5000 0.7500
Pt1 Pt 0.0000 0.5000 0.2500
```

Formation energy from the elements, eV/atom: -0.33
Crystal system: tetragonal

---

Record 13
A plane-wave DFT calculation with GGA-PBEsol was carried out for an optimized crystal structure of CsNa2Tl2.

The structure in CIF format:
```
data_CsNa2Tl2
_chemical_formula_sum 'Cs2 Na4 Tl4'
_cell_length_a 5.8449
_cell_length_b 5.8449
_cell_length_c 10.9557
_cell_angle_alpha 90.00
_cell_angle_beta 90.00
_cell_angle_gamma 90.00
_symmetry_space_group_name_H-M 'I 4/m m m'
_symmetry_Int_Tables_number 139
_symmetry_space_group_name_Hall '-I 4 2'
loop_
_atom_site_label
_atom_site_type_symbol
_atom_site_fract_x
_atom_site_fract_y
_atom_site_fract_z
Cs1 Cs 0.0000 0.0000 0.0000
Na1 Na 0.0000 0.5000 0.2500
Tl1 Tl 0.0000 0.0000 0.3662
```

Formation energy from the elements, eV/atom: -0.01
Relative energy among the computed polymorphs, meV/atom: 32
Crystal system: tetragonal